Entry 1:
This record from Alexandria via LeMat-Bulk describes a relaxed ZrBe17Mo crystal. The functional is PBE.

a = 7.4014 Å, b = 7.4014 Å, c = 10.7810 Å
α = 90.00°, β = 90.00°, γ = 120.00°
Space group R3m (No. 160, hexagonal axes)
Symmetry-distinct sites (fractional):
Zr 0.0000 0.0000 0.0000 x3
Be 0.0000 0.0000 0.5583 x3
Be 0.0000 0.0000 0.7550 x3
Be 0.0003 0.5002 0.8164 x9
Be 0.0420 0.3714 0.3266 x18
Be 0.1676 0.3353 0.4936 x9
Be 0.1707 0.3415 0.8380 x9
Mo 0.0000 0.0000 0.3198 x3

The calculation puts the total energy at -4.54 eV per atom.

Entry 2:
This record from Alexandria via LeMat-Bulk describes a relaxed ZrBe2Mo crystal. The functional is PBE.

a = 2.748 Å, b = 2.748 Å, c = 7.284 Å
α = 90.00°, β = 90.00°, γ = 90.00°
Space group P4mm (No. 99)
Symmetry-distinct sites (fractional):
Zr 0.000 0.000 0.000 x1
Be 0.000 0.000 0.418 x1
Be 0.500 0.500 0.273 x1
Mo 0.500 0.500 0.653 x1

The calculation puts the total energy at -6.59 eV per atom.

Entry 3:
This record from Alexandria via LeMat-Bulk describes a relaxed Zr2BeMo crystal. The functional is PBE.

a = 3.706 Å, b = 4.323 Å, c = 8.722 Å
α = 90.00°, β = 90.00°, γ = 90.00°
Space group Cmm2 (No. 35)
Symmetry-distinct sites (fractional):
Zr 0.000 0.000 0.000 x2
Zr 0.000 0.500 0.330 x2
Be 0.000 0.500 0.782 x2
Mo 0.000 0.000 0.601 x2

The calculation puts the total energy at -7.76 eV per atom.

Entry 4:
This record from Alexandria via LeMat-Bulk describes a relaxed Zr2BeMo crystal. The functional is PBE.

a = 2.830 Å, b = 2.830 Å, c = 8.724 Å
α = 90.00°, β = 90.00°, γ = 90.00°
Space group P4mm (No. 99)
Symmetry-distinct sites (fractional):
Zr 0.000 0.000 0.000 x1
Zr 0.500 0.500 0.326 x1
Be 0.000 0.000 0.540 x1
Mo 0.500 0.500 0.723 x1

The calculation puts the total energy at -7.76 eV per atom.

Entry 5:
This record from Alexandria via LeMat-Bulk describes a relaxed ZrBeMo2 crystal. The functional is PBE.

a = 3.407 Å, b = 4.403 Å, c = 8.328 Å
α = 90.00°, β = 90.00°, γ = 90.00°
Space group Cmm2 (No. 35)
Symmetry-distinct sites (fractional):
Zr 0.000 0.000 0.000 x2
Be 0.000 0.500 0.754 x2
Mo 0.000 0.000 0.551 x2
Mo 0.000 0.500 0.289 x2

The calculation puts the total energy at -8.34 eV per atom.

Entry 6:
This record from Alexandria via LeMat-Bulk describes a relaxed ZrBe2Mo crystal. The functional is PBE.

a = 2.786 Å, b = 2.786 Å, c = 7.131 Å
α = 90.00°, β = 90.00°, γ = 90.00°
Space group P4/mmm (No. 123)
Symmetry-distinct sites (fractional):
Zr 0.000 0.000 0.000 x1
Be 0.500 0.500 0.270 x2
Mo 0.000 0.000 0.500 x1

The calculation puts the total energy at -6.62 eV per atom.

Entry 7:
This record from Alexandria via LeMat-Bulk describes a relaxed ZrBe2Mo crystal. The functional is PBE.

a = 2.7979 Å, b = 2.7979 Å, c = 26.2530 Å
α = 90.00°, β = 90.00°, γ = 120.00°
Space group R-3m (No. 166, hexagonal axes)
Symmetry-distinct sites (fractional):
Zr 0.0000 0.0000 0.0000 x3
Be 0.0000 0.0000 0.2426 x6
Mo 0.0000 0.0000 0.5000 x3

The calculation puts the total energy at -6.29 eV per atom.

Entry 8:
This record from Alexandria via LeMat-Bulk describes a relaxed ZrBe2Mo crystal. The functional is PBE.

a = 3.952 Å, b = 3.966 Å, c = 7.066 Å
α = 90.00°, β = 90.00°, γ = 90.00°
Space group Immm (No. 71)
Symmetry-distinct sites (fractional):
Zr 0.000 0.000 0.000 x2
Be 0.000 0.500 0.250 x4
Mo 0.000 0.000 0.500 x2

The calculation puts the total energy at -6.72 eV per atom.

> What is the total energy in the seventh record?

-6.29 eV per atom